No. 1
Here is crystalline AgSnPd4 at its relaxed geometry from the Alexandria database. Energies are from PBE.

## Properties
The value obtained for the formation energy is -173.6 kJ/mol of formula units. Its space group is No. 12. Its energy above the most stable polymorph in this dataset is 0 meV/atom.

Cell and atoms, written as CIF:
```
data_AgSnPd4
_chemical_formula_sum 'Ag1 Sn1 Pd4'
_space_group_name_H-M_alt 'P 1'
_space_group_IT_number 1
_cell_length_a 4.937
_cell_length_b 4.937
_cell_length_c 5.843
_cell_angle_alpha 106.71
_cell_angle_beta 106.71
_cell_angle_gamma 47.13
loop_
_space_group_symop_operation_xyz
'x,y,z'
loop_
_atom_site_label
_atom_site_fract_x
_atom_site_fract_y
_atom_site_fract_z
_atom_site_occupancy
Ag1 0.000 0.000 0.000 1
Sn1 0.000 0.000 0.500 1
Pd1 0.334 0.334 0.169 1
Pd2 0.336 0.336 0.665 1
Pd3 0.664 0.664 0.335 1
Pd4 0.666 0.666 0.831 1
```

---

No. 2
Here is crystalline AgSnPd6 at its relaxed geometry from the Alexandria database. Energies are from PBE.

## Properties
The value obtained for the formation energy is -183.7 kJ/mol of formula units. Its space group is No. 123. Its energy above the most stable polymorph in this dataset is 0 meV/atom.

Cell and atoms, written as CIF:
```
data_AgSnPd6
_chemical_formula_sum 'Ag1 Sn1 Pd6'
_space_group_name_H-M_alt 'P 1'
_space_group_IT_number 1
_cell_length_a 4.058
_cell_length_b 4.058
_cell_length_c 7.879
_cell_angle_alpha 90.00
_cell_angle_beta 90.00
_cell_angle_gamma 90.00
loop_
_space_group_symop_operation_xyz
'x,y,z'
loop_
_atom_site_label
_atom_site_fract_x
_atom_site_fract_y
_atom_site_fract_z
_atom_site_occupancy
Ag1 0.000 0.000 0.000 1
Sn1 0.000 0.000 0.500 1
Pd1 0.000 0.500 0.252 1
Pd2 0.000 0.500 0.748 1
Pd3 0.500 0.000 0.252 1
Pd4 0.500 0.000 0.748 1
Pd5 0.500 0.500 0.000 1
Pd6 0.500 0.500 0.500 1
```